{"formula": "CrIrN2", "functional": "PBE", "state": "optimized geometry", "formation_energy_uncorrected_ev_per_atom": 0.00, "polymorph_energy_mev_per_atom": 0, "vol_a3_per_cell": 40, "magnetic_moment_mub_per_cell": 0.6, "cell": [[0.553, -2.680, 5.902], [2.099, -4.323, 4.386], [3.124, -1.996, 5.346]], "species": ["Cr", "Ir", "N", "N"], "frac_coords": [[0.500, 0.500, 0.500], [0.000, 0.000, 0.000], [0.896, 0.896, 0.896], [0.104, 0.104, 0.104]]}



{"formula": "CrIrN", "functional": "PBE", "state": "optimized geometry", "formation_energy_uncorrected_ev_per_atom": 0.03, "vol_a3_per_cell": 67, "magnetic_moment_mub_per_cell": 2.4, "cell": [[-1.485, -1.633, -1.671], [-0.263, -1.851, 2.041], [-6.426, 5.684, 2.449]], "species": ["N", "N", "Cr", "Cr", "Ir", "Ir"], "frac_coords": [[0.301, 0.301, 0.601], [0.699, 0.699, 0.399], [0.179, 0.179, 0.357], [0.821, 0.821, 0.643], [0.570, 0.570, 0.139], [0.430, 0.430, 0.861]]}



{"formula": "CrIrN3", "functional": "PBE", "state": "optimized geometry", "formation_energy_uncorrected_ev_per_atom": 1.32, "vol_a3_per_cell": 50, "magnetic_moment_mub_per_cell": 0.0, "cell": [[3.686, 0.000, 0.000], [0.000, 3.686, 0.000], [0.000, 0.000, 3.686]], "species": ["Cr", "Ir", "N", "N", "N"], "frac_coords": [[0.000, 0.000, 0.000], [0.500, 0.500, 0.500], [0.000, 0.500, 0.000], [0.000, 0.000, 0.500], [0.500, 0.000, 0.000]]}



{"formula": "Cr4IrN", "functional": "PBE", "state": "optimized geometry", "formation_energy_uncorrected_ev_per_atom": -0.06, "vol_a3_per_cell": 135, "magnetic_moment_mub_per_cell": 0.0, "cell": [[4.821, 0.480, -0.740], [-1.314, 4.997, -1.578], [0.236, 0.166, 5.395]], "species": ["Cr", "Cr", "Cr", "Cr", "Cr", "Cr", "Cr", "Cr", "Ir", "Ir", "N", "N"], "frac_coords": [[0.838, 0.599, 0.862], [0.092, 0.952, 0.262], [0.662, 0.138, 0.401], [0.408, 0.738, 0.048], [0.592, 0.262, 0.952], [0.338, 0.862, 0.599], [0.908, 0.048, 0.738], [0.162, 0.401, 0.138], [0.750, 0.611, 0.389], [0.250, 0.389, 0.611], [0.250, 0.044, 0.956], [0.750, 0.956, 0.044]]}



{"formula": "Cr2IrN", "functional": "PBE", "state": "optimized geometry", "formation_energy_uncorrected_ev_per_atom": -0.36, "polymorph_energy_mev_per_atom": 0, "vol_a3_per_cell": 43, "magnetic_moment_mub_per_cell": 0.0, "cell": [[2.725, 0.000, 0.000], [1.362, 2.360, 0.000], [1.362, 0.787, 6.661]], "species": ["Cr", "Cr", "Ir", "N"], "frac_coords": [[0.060, 0.060, 0.821], [0.273, 0.273, 0.182], [0.502, 0.502, 0.494], [0.666, 0.666, 0.003]]}



{"formula": "CrIr2N", "functional": "PBE", "state": "optimized geometry", "formation_energy_uncorrected_ev_per_atom": 1.22, "polymorph_energy_mev_per_atom": 590, "vol_a3_per_cell": 49, "magnetic_moment_mub_per_cell": 0.0, "cell": [[0.464, 1.547, 3.783], [-1.004, 3.916, 0.758], [-3.306, 0.870, 2.286]], "species": ["Cr", "Ir", "Ir", "N"], "frac_coords": [[0.500, 0.500, 0.500], [0.250, 0.250, 0.250], [0.750, 0.750, 0.750], [0.000, 0.000, 0.000]]}



{"formula": "CrIr3N", "functional": "PBE", "state": "optimized geometry", "formation_energy_uncorrected_ev_per_atom": 2.52, "polymorph_energy_mev_per_atom": 1926, "vol_a3_per_cell": 90, "magnetic_moment_mub_per_cell": 3.4, "cell": [[-3.650, -2.382, -1.069], [-0.428, -1.267, 4.284], [-2.575, 3.586, 0.803]], "species": ["Cr", "Ir", "Ir", "Ir", "N"], "frac_coords": [[0.000, 0.000, 0.000], [0.000, 0.500, 0.000], [0.000, 0.000, 0.500], [0.500, 0.000, 0.000], [0.500, 0.500, 0.500]]}



{"formula": "CrIr2N", "functional": "PBE", "state": "optimized geometry", "formation_energy_uncorrected_ev_per_atom": 0.63, "polymorph_energy_mev_per_atom": 0, "vol_a3_per_cell": 123, "magnetic_moment_mub_per_cell": 1.9, "cell": [[-3.924, 1.324, -2.701], [-2.878, -2.945, 2.737], [-4.291, 2.991, 3.174]], "species": ["Cr", "Cr", "Ir", "Ir", "Ir", "Ir", "N", "N"], "frac_coords": [[0.000, 0.000, 0.000], [0.750, 0.250, 0.500], [0.559, 0.125, 0.250], [0.191, 0.625, 0.250], [0.375, 0.441, 0.750], [0.875, 0.809, 0.750], [0.500, 0.500, 0.000], [0.250, 0.750, 0.500]]}